Record 1
Here is crystalline BaPb6Au2 at its relaxed geometry from Alexandria. Energies are from PBE.

ΔE_f	-22	kJ/mol of atoms
ΔE to the lowest computed polymorph	0.00	eV/f.u.
Fermi-level density of states	0.5737	states/eV per atom

Cell lengths 4.8287, 4.8287, 11.7805 Å; angles 90.00, 90.00, 90.00 degrees
Fractional coordinates of all 9 atoms:
Pb 0.0000 0.0000 0.5000
Pb 0.5000 0.0000 0.7227
Pb 0.5000 0.0000 0.2773
Pb 0.0000 0.5000 0.7227
Pb 0.0000 0.5000 0.2773
Pb 0.5000 0.5000 0.5000
Ba 0.0000 0.0000 0.0000
Au 0.5000 0.5000 0.1155
Au 0.5000 0.5000 0.8845

---

Record 2
Here is crystalline BaPbAu2 at its relaxed geometry from Alexandria. Energies are from PBE.

ΔE_f	-43	kJ/mol of atoms
Fermi-level density of states	0.3245	states/eV per atom

Cell lengths 4.7382, 4.6351, 5.7072 Å; angles 73.44, 90.00, 90.00 degrees
Fractional coordinates of all 4 atoms:
Au 0.5000 0.0607 0.2787
Au 0.0000 0.1302 0.9762
Ba 0.0000 0.5042 0.4127
Pb 0.5000 0.8050 0.8324

---

- The lowest ΔE_f belongs to which entry?
  BaPbAu2